[1]
# BaRe2As | Alexandria | PBE-GGA | relaxed
data_BaRe2As
_chemical_formula_sum 'Ba3 Re6 As3'
_space_group_name_H-M_alt 'R -3 m'
_space_group_IT_number 166
_space_group_name_Hall '-R 3 2"'
_cell_length_a 3.0820
_cell_length_b 3.0820
_cell_length_c 28.6328
_cell_angle_alpha 90.00
_cell_angle_beta 90.00
_cell_angle_gamma 120.00
loop_
_atom_site_label
_atom_site_fract_x
_atom_site_fract_y
_atom_site_fract_z
_atom_site_occupancy
Ba1 0.0000 0.0000 0.0000 1
Re1 0.0000 0.0000 0.2303 1
As1 0.0000 0.0000 0.5000 1
# Density of states at the Fermi level in states/eV/atom: 0.7333
# DFT formation energy in eV per atom: 1.017
# Magnetic moment in μB/cell: 0.0
# Volume in Å³/cell: 235.54

[2]
# NaPuPaN4 | Alexandria | PBE-GGA | relaxed
data_NaPuPaN4
_chemical_formula_sum 'Na2 Pu2 Pa2 N8'
_space_group_name_H-M_alt 'I 4 m m'
_space_group_IT_number 107
_space_group_name_Hall 'I 4 -2'
_cell_length_a 4.1436
_cell_length_b 4.1436
_cell_length_c 12.1610
_cell_angle_alpha 90.00
_cell_angle_beta 90.00
_cell_angle_gamma 90.00
loop_
_atom_site_label
_atom_site_fract_x
_atom_site_fract_y
_atom_site_fract_z
_atom_site_occupancy
Na1 0.0000 0.0000 0.0000 1
Pu1 0.0000 0.0000 0.3560 1
Pa1 0.0000 0.0000 0.7040 1
N1 0.0000 0.0000 0.1873 1
N2 0.0000 0.0000 0.5394 1
N3 0.0000 0.5000 0.3315 1
# Density of states at the Fermi level in states/eV/atom: 0.5662
# Magnetic moment in μB/cell: 4.0
# Volume in Å³/cell: 208.80
# Raw formation energy in kJ per mole of atoms: -71.9

[3]
# SiHPt | Alexandria | PBE-GGA | relaxed
data_SiHPt
_chemical_formula_sum 'Si2 H2 Pt2'
_space_group_name_H-M_alt 'P 1 2/m 1'
_space_group_IT_number 10
_cell_length_a 5.0931
_cell_length_b 3.2153
_cell_length_c 5.4296
_cell_angle_alpha 90.00
_cell_angle_beta 90.84
_cell_angle_gamma 90.00
loop_
_space_group_symop_operation_xyz
'x,y,z'
'-x,-y,-z'
'-x,y,-z'
'x,-y,z'
loop_
_atom_site_label
_atom_site_fract_x
_atom_site_fract_y
_atom_site_fract_z
_atom_site_occupancy
Si1 0.2269 0.0000 0.4969 1
H1 0.2816 0.5000 0.9958 1
Pt1 0.4970 0.5000 0.2568 1
# Density of states at the Fermi level in states/eV/atom: 0.3167
# Excess energy over the best structure of this formula in the dataset in eV per atom: 0.0000
# Magnetic moment in μB/cell: 0.0
# Volume in Å³/cell: 88.90

[4]
# Hf4Rh2N | Alexandria | PBE-GGA | relaxed
data_Hf4Rh2N
_chemical_formula_sum 'Hf8 Rh4 N2'
_space_group_name_H-M_alt 'P b a m'
_space_group_IT_number 55
_cell_length_a 7.0990
_cell_length_b 10.6097
_cell_length_c 3.2248
_cell_angle_alpha 90.00
_cell_angle_beta 90.00
_cell_angle_gamma 90.00
loop_
_space_group_symop_operation_xyz
'x,y,z'
'-x,-y,-z'
'-x,-y,z'
'x,y,-z'
'x+1/2,-y+1/2,-z'
'-x+1/2,y+1/2,z'
'-x+1/2,y+1/2,-z'
'x+1/2,-y+1/2,z'
loop_
_atom_site_label
_atom_site_fract_x
_atom_site_fract_y
_atom_site_fract_z
_atom_site_occupancy
Hf1 0.1355 0.1962 0.0000 1
Hf2 0.1970 0.9420 0.5000 1
Rh1 0.0576 0.6391 0.5000 1
N1 0.0000 0.0000 0.0000 1
# Density of states at the Fermi level in states/eV/atom: 0.8130
# Magnetic moment in μB/cell: 0.0
# Volume in Å³/cell: 242.89
# Raw formation energy in kJ per mole of atoms: -82.6

[5]
# PrSm10Er6 | Alexandria | PBE-GGA | relaxed
data_PrSm10Er6
_chemical_formula_sum 'Pr1 Sm10 Er6'
_space_group_name_H-M_alt 'P -3 1 m'
_space_group_IT_number 162
_space_group_name_Hall '-P 3 2'
_cell_length_a 9.7715
_cell_length_b 9.7715
_cell_length_c 6.8623
_cell_angle_alpha 90.00
_cell_angle_beta 90.00
_cell_angle_gamma 120.00
loop_
_atom_site_label
_atom_site_fract_x
_atom_site_fract_y
_atom_site_fract_z
_atom_site_occupancy
Pr1 0.0000 0.0000 0.0000 1
Sm1 0.0000 0.2783 0.3190 1
Sm2 0.3333 0.6667 0.0000 1
Sm3 0.3333 0.6667 0.5000 1
Er1 0.0000 0.3724 0.8089 1
# Density of states at the Fermi level in states/eV/atom: 1.5098
# DFT formation energy in eV per atom: 0.134
# Magnetic moment in μB/cell: 0.0
# Volume in Å³/cell: 567.44

[6]
# Tl4SbPb | Alexandria | PBE-GGA | relaxed
data_Tl4SbPb
_chemical_formula_sum 'Tl16 Sb4 Pb4'
_space_group_name_H-M_alt 'F -4 3 m'
_space_group_IT_number 216
_space_group_name_Hall 'F -4 2 3'
_cell_length_a 9.1477
_cell_length_b 9.1477
_cell_length_c 9.1477
_cell_angle_alpha 90.00
_cell_angle_beta 90.00
_cell_angle_gamma 90.00
loop_
_atom_site_label
_atom_site_fract_x
_atom_site_fract_y
_atom_site_fract_z
_atom_site_occupancy
Tl1 0.1252 0.1252 0.1252 1
Sb1 0.0000 0.0000 0.5000 1
Pb1 0.2500 0.2500 0.7500 1
# Density of states at the Fermi level in states/eV/atom: 0.6020
# Excess energy over the best structure of this formula in the dataset in eV per atom: 0.1333
# Magnetic moment in μB/cell: 0.0
# Volume in Å³/cell: 765.49
# Raw formation energy in kJ per mole of atoms: 16.1